Record 1
# AsPdBrF2

A crystal of AsPdBrF2 relaxed with PBEsol (SCAN, Alexandria via LeMat-Bulk).

The structure in CIF format:
```
data_AsPdBrF2
_chemical_formula_sum 'As1 Pd1 Br1 F2'
_cell_length_a 4.028
_cell_length_b 4.028
_cell_length_c 5.579
_cell_angle_alpha 90.00
_cell_angle_beta 90.00
_cell_angle_gamma 90.00
_symmetry_space_group_name_H-M 'P 4/m m m'
_symmetry_Int_Tables_number 123
_symmetry_space_group_name_Hall '-P 4 2'
loop_
_atom_site_label
_atom_site_type_symbol
_atom_site_fract_x
_atom_site_fract_y
_atom_site_fract_z
As1 As 0.000 0.000 0.000
Pd1 Pd 0.500 0.500 0.000
Br1 Br 0.000 0.000 0.500
F1 F 0.000 0.500 0.500
```

Computed properties:
* electronic total energy: -15.78 eV/atom
* V: 18.11 Å³ per atom
* size of the total moment: 0.00 μB/f.u.
* D(E_F): 0.330 states/eV/atom
* energy relative to the elements, uncorrected: 0.117 eV/atom



Record 2
# AlFe3Ru

A crystal of AlFe3Ru relaxed with PBEsol (SCAN, Alexandria via LeMat-Bulk).

The structure in CIF format:
```
data_AlFe3Ru
_chemical_formula_sum 'Al1 Fe3 Ru1'
_cell_length_a 4.175
_cell_length_b 4.175
_cell_length_c 4.175
_cell_angle_alpha 90.00
_cell_angle_beta 90.00
_cell_angle_gamma 90.00
_symmetry_space_group_name_H-M 'P m -3 m'
_symmetry_Int_Tables_number 221
_symmetry_space_group_name_Hall '-P 4 2 3'
loop_
_atom_site_label
_atom_site_type_symbol
_atom_site_fract_x
_atom_site_fract_y
_atom_site_fract_z
Al1 Al 0.000 0.000 0.000
Fe1 Fe 0.000 0.000 0.500
Ru1 Ru 0.500 0.500 0.500
```

Computed properties:
* electronic total energy: -18.13 eV/atom
* V: 14.56 Å³ per atom
* size of the total moment: 9.71 μB/f.u.
* D(E_F): 0.779 states/eV/atom
* ΔE_f: 1.2624 eV per atom



Record 3
# LaY2ScTc

A crystal of LaY2ScTc relaxed with PBEsol (SCAN, Alexandria via LeMat-Bulk).

The structure in CIF format:
```
data_LaY2ScTc
_chemical_formula_sum 'La1 Y2 Sc1 Tc1'
_cell_length_a 5.248
_cell_length_b 5.248
_cell_length_c 5.372
_cell_angle_alpha 90.00
_cell_angle_beta 90.00
_cell_angle_gamma 90.00
_symmetry_space_group_name_H-M 'P 4/m m m'
_symmetry_Int_Tables_number 123
_symmetry_space_group_name_Hall '-P 4 2'
loop_
_atom_site_label
_atom_site_type_symbol
_atom_site_fract_x
_atom_site_fract_y
_atom_site_fract_z
La1 La 0.000 0.000 0.000
Y1 Y 0.000 0.500 0.500
Sc1 Sc 0.000 0.000 0.500
Tc1 Tc 0.500 0.500 0.000
```

Computed properties:
* electronic total energy: -28.32 eV/atom
* V: 29.59 Å³ per atom
* size of the total moment: 4.41 μB/f.u.
* D(E_F): 1.036 states/eV/atom
* ΔE_f: 1.3016 eV per atom



Record 4
# YMo

A crystal of YMo relaxed with PBEsol (SCAN, Alexandria via LeMat-Bulk).

The structure in CIF format:
```
data_YMo
_chemical_formula_sum 'Y2 Mo2'
_cell_length_a 3.478
_cell_length_b 4.785
_cell_length_c 4.791
_cell_angle_alpha 90.00
_cell_angle_beta 90.00
_cell_angle_gamma 90.00
_symmetry_space_group_name_H-M 'C m m m'
_symmetry_Int_Tables_number 65
_symmetry_space_group_name_Hall '-C 2 2'
loop_
_atom_site_label
_atom_site_type_symbol
_atom_site_fract_x
_atom_site_fract_y
_atom_site_fract_z
Y1 Y 0.000 0.000 0.000
Mo1 Mo 0.000 0.500 0.500
```

Computed properties:
* electronic total energy: -30.70 eV/atom
* V: 19.93 Å³ per atom
* size of the total moment: 0.00 μB/f.u.
* D(E_F): 1.230 states/eV/atom
* ΔE_f: 0.6630 eV per atom
* energy relative to the lowest polymorph listed for this composition: 507 meV/atom



Record 5
# TiHgH2

A crystal of TiHgH2 relaxed with PBEsol (SCAN, Alexandria via LeMat-Bulk).

The structure in CIF format:
```
data_TiHgH2
_chemical_formula_sum 'Ti4 Hg4 H8'
_cell_length_a 5.514
_cell_length_b 5.514
_cell_length_c 5.514
_cell_angle_alpha 90.00
_cell_angle_beta 90.00
_cell_angle_gamma 90.00
_symmetry_space_group_name_H-M 'F m -3 m'
_symmetry_Int_Tables_number 225
_symmetry_space_group_name_Hall '-F 4 2 3'
loop_
_atom_site_label
_atom_site_type_symbol
_atom_site_fract_x
_atom_site_fract_y
_atom_site_fract_z
Ti1 Ti 0.000 0.000 0.000
Hg1 Hg 0.000 0.000 0.500
H1 H 0.250 0.250 0.250
```

Computed properties:
* electronic total energy: -22.42 eV/atom
* V: 10.48 Å³ per atom
* size of the total moment: 0.00 μB/f.u.
* D(E_F): 0.281 states/eV/atom
* energy relative to the lowest polymorph listed for this composition: 307 meV/atom



Record 6
# Y2Ni2Ir

A crystal of Y2Ni2Ir relaxed with PBEsol (SCAN, Alexandria via LeMat-Bulk).

The structure in CIF format:
```
data_Y2Ni2Ir
_chemical_formula_sum 'Y4 Ni4 Ir2'
_cell_length_a 6.678
_cell_length_b 6.678
_cell_length_c 3.864
_cell_angle_alpha 90.00
_cell_angle_beta 90.00
_cell_angle_gamma 90.00
_symmetry_space_group_name_H-M 'P 4/m b m'
_symmetry_Int_Tables_number 127
_symmetry_space_group_name_Hall '-P 4 2ab'
loop_
_atom_site_label
_atom_site_type_symbol
_atom_site_fract_x
_atom_site_fract_y
_atom_site_fract_z
Y1 Y 0.185 0.315 0.000
Ni1 Ni 0.122 0.622 0.500
Ir1 Ir 0.000 0.000 0.500
```

Computed properties:
* electronic total energy: -32.35 eV/atom
* V: 17.23 Å³ per atom
* size of the total moment: 0.00 μB/f.u.
* D(E_F): 0.651 states/eV/atom
* ΔE_f: -0.5236 eV per atom